No. 1
# Zn3CoH

A relaxed structure of Zn3CoH (PBE-GGA, the Alexandria database).

a b c (Å): 3.8183 3.8183 3.8183
angles (deg): 90.00 90.00 90.00
Each line ends with the local moment (μB).
Sites, in units of the cell vectors:
1 Co 0.5000 0.5000 0.5000  0.06
2 Zn 0.5000 0.0000 0.0000  0.00
3 Zn 0.0000 0.5000 0.0000  0.00
4 H 0.0000 0.0000 0.0000  0.00
5 Zn 0.0000 0.0000 0.5000  0.00

Output
Symmetry   No. 221
Excess energy over the best structure of this formula in the dataset   0.000 eV/atom

=====

No. 2
# ZnCo2H

A relaxed structure of ZnCo2H (PBE-GGA, the Alexandria database).

a b c (Å): 2.6236 2.6236 6.3972
angles (deg): 78.17 78.17 60.00
Each line ends with the local moment (μB).
Sites, in units of the cell vectors:
1 Co 0.2788 0.2788 0.1637  1.25
2 H 0.0000 0.0000 0.0000  -0.01
3 Co 0.7212 0.7212 0.8363  1.25
4 Zn 0.5000 0.5000 0.5000  -0.04

Output
Symmetry   No. 166
Excess energy over the best structure of this formula in the dataset   0.007 eV/atom

=====

No. 3
# ZnCo2H

A relaxed structure of ZnCo2H (PBE-GGA, the Alexandria database).

a b c (Å): 2.4961 2.4961 6.1533
angles (deg): 90.00 90.00 90.00
Each line ends with the local moment (μB).
Sites, in units of the cell vectors:
1 Zn 0.5000 0.5000 0.5000  -0.04
2 H 0.5000 0.5000 0.0000  -0.01
3 Co 0.0000 0.0000 0.1831  1.39
4 Co 0.0000 0.0000 0.8169  1.39

Output
Symmetry   No. 123
Excess energy over the best structure of this formula in the dataset   0.266 eV/atom

=====

No. 4
# ZnCo2H2

A relaxed structure of ZnCo2H2 (PBE-GGA, the Alexandria database).

a b c (Å): 2.8601 2.8601 5.2768
angles (deg): 74.28 74.28 90.00
Each line ends with the local moment (μB).
Sites, in units of the cell vectors:
1 H 0.7500 0.2500 0.5000  -0.01
2 Co 0.6545 0.6545 0.6911  0.54
3 Zn 0.0000 0.0000 0.0000  -0.03
4 H 0.2500 0.7500 0.5000  -0.01
5 Co 0.3455 0.3455 0.3089  0.54

Output
Symmetry   No. 139
Excess energy over the best structure of this formula in the dataset   0.000 eV/atom

=====

No. 5
# ZnCo2H2

A relaxed structure of ZnCo2H2 (PBE-GGA, the Alexandria database).

a b c (Å): 5.6083 5.6083 2.5718
angles (deg): 90.00 90.00 90.00
Each line ends with the local moment (μB).
Sites, in units of the cell vectors:
1 Zn 0.5000 0.5000 0.0000  -0.03
2 H 0.3907 0.8907 0.0000  -0.01
3 Zn 0.0000 0.0000 0.0000  -0.03
4 H 0.6093 0.1093 0.0000  -0.01
5 Co 0.6428 0.8572 0.5000  0.66
6 Co 0.3572 0.1428 0.5000  0.66
7 Co 0.8572 0.3572 0.5000  0.67
8 H 0.1093 0.3907 0.0000  -0.01
9 Co 0.1428 0.6428 0.5000  0.67
10 H 0.8907 0.6093 0.0000  -0.01

Output
Symmetry   No. 127
Excess energy over the best structure of this formula in the dataset   0.273 eV/atom

=====

No. 6
# ZnCo3H

A relaxed structure of ZnCo3H (PBE-GGA, the Alexandria database).

a b c (Å): 4.3889 4.3889 4.3889
angles (deg): 90.00 90.00 90.00
Each line ends with the local moment (μB).
Sites, in units of the cell vectors:
1 Co 0.0000 0.0000 0.5000  1.74
2 Co 0.5000 0.0000 0.0000  1.36
3 Zn 0.0000 0.0000 0.0000  -0.11
4 H 0.5000 0.5000 0.5000  -0.01
5 Co 0.0000 0.5000 0.0000  1.61

Output
Symmetry   No. 221
Excess energy over the best structure of this formula in the dataset   1.792 eV/atom

=====

No. 7
# Zn2CoH

A relaxed structure of Zn2CoH (PBE-GGA, the Alexandria database).

a b c (Å): 4.0268 4.0268 4.0268
angles (deg): 60.00 60.00 60.00
Each line ends with the local moment (μB).
Sites, in units of the cell vectors:
1 Co 0.5000 0.5000 0.5000  0.59
2 Zn 0.7500 0.7500 0.7500  -0.02
3 H 0.0000 0.0000 0.0000  0.05
4 Zn 0.2500 0.2500 0.2500  -0.02

Output
Symmetry   No. 225
Excess energy over the best structure of this formula in the dataset   0.614 eV/atom

=====

No. 8
# ZnCoH3

A relaxed structure of ZnCoH3 (PBE-GGA, the Alexandria database).

a b c (Å): 4.1789 4.9370 4.7927
angles (deg): 120.92 115.85 89.99
Sites, in units of the cell vectors:
1 H 0.6533 0.7106 0.4982
2 Zn 0.1543 0.7645 0.4991
3 H 0.6543 0.3137 0.4985
4 Co 0.4701 0.3289 0.1316
5 H 0.1534 0.0120 0.9979
6 H 0.6533 0.5132 0.9990
7 H 0.6538 0.0120 0.9992
8 H 0.1524 0.5108 0.9974
9 Zn 0.1542 0.2595 0.4977
10 Co 0.8369 0.6953 0.8651

Output
Symmetry   No. 5
Excess energy over the best structure of this formula in the dataset   0.000 eV/atom

=====

No. 9
# Zr2ZnCoH

A relaxed structure of Zr2ZnCoH (PBE-GGA, the Alexandria database).

a b c (Å): 4.5298 4.5298 3.4792
angles (deg): 90.00 90.00 90.00
Each line ends with the local moment (μB).
Sites, in units of the cell vectors:
1 H 0.0000 0.0000 0.0000  0.00
2 Zn 0.5000 0.5000 0.5000  0.00
3 Zr 0.5000 0.0000 0.0000  0.01
4 Co 0.0000 0.0000 0.5000  0.14
5 Zr 0.0000 0.5000 0.0000  0.01

Output
Symmetry   No. 123
Final energy   -6.05 eV per atom

=====

No. 10
# ZrCoH5

A relaxed structure of ZrCoH5 (PBE-GGA, the Alexandria database).

a b c (Å): 3.6824 4.3608 5.8434
angles (deg): 90.00 71.63 90.00
Sites, in units of the cell vectors:
1 H 0.8124 0.4895 0.3752
2 Co 0.0759 0.2500 0.8481
3 H 0.8125 0.0105 0.3752
4 Zr 0.3467 0.2500 0.3066
5 H 0.1875 0.9895 0.6248
6 H 0.7559 0.5002 0.9998
7 H 0.2441 0.4998 0.0002
8 Zr 0.6533 0.7500 0.6934
9 H 0.1876 0.5105 0.6248
10 H 0.2443 0.9998 0.9998
11 H 0.7557 0.0002 0.0002
12 Co 0.9241 0.7500 0.1519
13 H 0.3817 0.7500 0.2366
14 H 0.6183 0.2500 0.7634

Output
Symmetry   No. 63
Final energy   -4.85 eV per atom

=====

No. 11
# ZrCoH2

A relaxed structure of ZrCoH2 (PBE-GGA, the Alexandria database).

a b c (Å): 4.0104 4.0104 5.5046
angles (deg): 68.64 68.64 90.00
Sites, in units of the cell vectors:
1 H 0.5198 0.1250 0.2500
2 H 0.2302 0.6250 0.2500
3 H 0.3750 0.4802 0.7500
4 Co 0.2500 0.7500 0.5000
5 Zr 0.0000 0.0000 0.0000
6 Co 0.5000 0.5000 0.0000
7 Zr 0.7500 0.2500 0.5000
8 H 0.8750 0.7698 0.7500

Output
Symmetry   No. 122
Excess energy over the best structure of this formula in the dataset   0.137 eV/atom

=====

No. 12
# Zr4Co2H

A relaxed structure of Zr4Co2H (PBE-GGA, the Alexandria database).

a b c (Å): 3.4571 5.5459 6.7069
angles (deg): 106.93 104.94 90.00
Sites, in units of the cell vectors:
1 Co 0.7344 0.8242 0.4688
2 Zr 0.0872 0.7496 0.1744
3 H 0.0000 0.0000 0.0000
4 Co 0.2656 0.1758 0.5312
5 Zr 0.6455 0.3040 0.2910
6 Zr 0.9128 0.2504 0.8256
7 Zr 0.3545 0.6960 0.7090

Output
Symmetry   No. 12
Excess energy over the best structure of this formula in the dataset   0.000 eV/atom

=====

no.,V (Å³ per cell),magnetic moment (μB per formula unit),Fermi-level density of states (states/eV/atom)
1,55.7,0.05,0.45
2,37.1,2.40,0.95
3,38.3,2.70,0.86
4,39.9,1.00,0.96
5,80.9,1.25,0.76
6,84.5,4.38,1.87
7,46.2,0.59,0.58
8,73.1,0.00,0.26
9,71.4,0.17,0.63
10,89.1,0.00,0.16
11,75.9,0.00,0.67
12,118.5,0.00,0.83